(1)
# GGA-PBE PmErTmAg, relaxed
data_PmErTmAg
_cell_length_a 3.569
_cell_length_b 3.569
_cell_length_c 8.793
_cell_angle_alpha 90.00
_cell_angle_beta 90.00
_cell_angle_gamma 90.00
_space_group_name_H-M_alt 'P 4 m m'
_space_group_IT_number 99
loop_
_space_group_symop_operation_xyz
'x,y,z'
'-y,x,z'
'-x,-y,z'
'y,-x,z'
'-x,y,z'
'y,x,z'
'x,-y,z'
'-y,-x,z'
loop_
_atom_site_label
_atom_site_type_symbol
_atom_site_fract_x
_atom_site_fract_y
_atom_site_fract_z
_atom_site_occupancy
Pm1 Pm 0.000 0.000 0.000 1
Er1 Er 0.500 0.500 0.708 1
Tm1 Tm 0.500 0.500 0.291 1
Ag1 Ag 0.000 0.000 0.497 1
# DOS(E_F): 5.0 states/eV/cell
# Energy of formation from the pure elements: -138 meV per atom
# E above lowest polymorph: 0.0000 eV per atom
# Size of the total moment: 0.0 Bohr magnetons per cell

(2)
# GGA-PBE Dy2TlSb, relaxed
data_Dy2TlSb
_cell_length_a 3.966
_cell_length_b 3.966
_cell_length_c 6.929
_cell_angle_alpha 90.00
_cell_angle_beta 90.00
_cell_angle_gamma 90.00
_space_group_name_H-M_alt 'P 4/m m m'
_space_group_IT_number 123
_space_group_name_Hall '-P 4 2'
loop_
_atom_site_label
_atom_site_type_symbol
_atom_site_fract_x
_atom_site_fract_y
_atom_site_fract_z
_atom_site_occupancy
Dy1 Dy 0.000 0.000 0.240 1
Tl1 Tl 0.500 0.500 0.500 1
Sb1 Sb 0.500 0.500 0.000 1
# DOS(E_F): 3.4 states/eV/cell
# E above lowest polymorph: 0.1187 eV per atom
# Size of the total moment: 0.0 Bohr magnetons per cell

(3)
# GGA-PBE La3Pr2HoTe6, relaxed
data_La3Pr2HoTe6
_cell_length_a 19.679
_cell_length_b 4.512
_cell_length_c 9.082
_cell_angle_alpha 90.00
_cell_angle_beta 102.85
_cell_angle_gamma 90.00
_space_group_name_H-M_alt 'C 1 2/m 1'
_space_group_IT_number 12
loop_
_space_group_symop_operation_xyz
'x,y,z'
'-x,-y,-z'
'-x,y,-z'
'x,-y,z'
'x+1/2,y+1/2,z'
'-x+1/2,-y+1/2,-z'
'-x+1/2,y+1/2,-z'
'x+1/2,-y+1/2,z'
loop_
_atom_site_label
_atom_site_type_symbol
_atom_site_fract_x
_atom_site_fract_y
_atom_site_fract_z
_atom_site_occupancy
La1 La 0.000 0.000 0.000 1
La2 La 0.171 0.500 0.334 1
Pr1 Pr 0.168 0.500 0.835 1
Ho1 Ho 0.000 0.000 0.500 1
Te1 Te 0.001 0.500 0.263 1
Te2 Te 0.160 0.000 0.582 1
Te3 Te 0.166 0.000 0.082 1
# DOS(E_F): 15.2 states/eV/cell
# E_tot: -65.63 eV/f.u.
# Size of the total moment: 0.0 Bohr magnetons per cell

(4)
# GGA-PBE Mn2GaNiH, relaxed
data_Mn2GaNiH
_cell_length_a 3.759
_cell_length_b 3.759
_cell_length_c 3.681
_cell_angle_alpha 90.00
_cell_angle_beta 90.00
_cell_angle_gamma 90.00
_space_group_name_H-M_alt 'P 4/m m m'
_space_group_IT_number 123
_space_group_name_Hall '-P 4 2'
loop_
_atom_site_label
_atom_site_type_symbol
_atom_site_fract_x
_atom_site_fract_y
_atom_site_fract_z
_atom_site_occupancy
Mn1 Mn 0.000 0.500 0.000 1
Ga1 Ga 0.000 0.000 0.500 1
Ni1 Ni 0.500 0.500 0.500 1
H1 H 0.500 0.500 0.000 1
# DOS(E_F): 3.8 states/eV/cell
# E above lowest polymorph: 0.0000 eV per atom
# Size of the total moment: 5.6 Bohr magnetons per cell

(5)
# GGA-PBE RbTcCl3, relaxed
data_RbTcCl3
_cell_length_a 3.922
_cell_length_b 8.685
_cell_length_c 8.864
_cell_angle_alpha 117.77
_cell_angle_beta 93.11
_cell_angle_gamma 90.37
_space_group_name_H-M_alt 'P -1'
_space_group_IT_number 2
loop_
_space_group_symop_operation_xyz
'x,y,z'
'-x,-y,-z'
loop_
_atom_site_label
_atom_site_type_symbol
_atom_site_fract_x
_atom_site_fract_y
_atom_site_fract_z
_atom_site_occupancy
Rb1 Rb 0.225 0.338 0.170 1
Tc1 Tc 0.329 0.081 0.597 1
Cl1 Cl 0.251 0.322 0.547 1
Cl2 Cl 0.270 0.941 0.765 1
Cl3 Cl 0.307 0.707 0.149 1
# E_tot: -22.10 eV/f.u.
# Size of the total moment: 0.0 Bohr magnetons per cell

(6)
# GGA-PBE TaBe4Ni2, relaxed
data_TaBe4Ni2
_cell_length_a 7.037
_cell_length_b 5.528
_cell_length_c 4.612
_cell_angle_alpha 90.00
_cell_angle_beta 128.33
_cell_angle_gamma 90.00
_space_group_name_H-M_alt 'C 1 2/m 1'
_space_group_IT_number 12
loop_
_space_group_symop_operation_xyz
'x,y,z'
'-x,-y,-z'
'-x,y,-z'
'x,-y,z'
'x+1/2,y+1/2,z'
'-x+1/2,-y+1/2,-z'
'-x+1/2,y+1/2,-z'
'x+1/2,-y+1/2,z'
loop_
_atom_site_label
_atom_site_type_symbol
_atom_site_fract_x
_atom_site_fract_y
_atom_site_fract_z
_atom_site_occupancy
Ta1 Ta 0.000 0.000 0.000 1
Be1 Be 0.189 0.189 0.674 1
Ni1 Ni 0.013 0.500 0.762 1
# DOS(E_F): 9.8 states/eV/cell
# Energy of formation from the pure elements: -207 meV per atom
# Size of the total moment: 0.0 Bohr magnetons per cell

(7)
# GGA-PBE LiAcPd3, relaxed
data_LiAcPd3
_cell_length_a 4.571
_cell_length_b 4.571
_cell_length_c 4.571
_cell_angle_alpha 90.00
_cell_angle_beta 90.00
_cell_angle_gamma 90.00
_space_group_name_H-M_alt 'P m -3 m'
_space_group_IT_number 221
_space_group_name_Hall '-P 4 2 3'
loop_
_atom_site_label
_atom_site_type_symbol
_atom_site_fract_x
_atom_site_fract_y
_atom_site_fract_z
_atom_site_occupancy
Li1 Li 0.000 0.000 0.000 1
Ac1 Ac 0.500 0.500 0.500 1
Pd1 Pd 0.000 0.000 0.500 1
# DOS(E_F): 2.3 states/eV/cell
# Energy of formation from the pure elements: -523 meV per atom
# E above lowest polymorph: 0.0699 eV per atom
# Size of the total moment: 0.0 Bohr magnetons per cell

(8)
# GGA-PBE Sm7AlI12, relaxed
data_Sm7AlI12
_cell_length_a 16.0207
_cell_length_b 16.0207
_cell_length_c 10.6974
_cell_angle_alpha 90.00
_cell_angle_beta 90.00
_cell_angle_gamma 120.00
_space_group_name_H-M_alt 'R -3'
_space_group_IT_number 148
_space_group_name_Hall '-R 3'
loop_
_atom_site_label
_atom_site_type_symbol
_atom_site_fract_x
_atom_site_fract_y
_atom_site_fract_z
_atom_site_occupancy
Sm1 Sm 0.0000 0.0000 0.0000 1
Sm2 Sm 0.0473 0.1661 0.3470 1
Al1 Al 0.0000 0.0000 0.5000 1
I1 I 0.0217 0.5873 0.1653 1
I2 I 0.0517 0.1831 0.8390 1
# DOS(E_F): 38.2 states/eV/cell
# E_tot: -79.54 eV/f.u.
# Size of the total moment: 0.0 Bohr magnetons per cell

(9)
# GGA-PBE NaThPbAu, relaxed
data_NaThPbAu
_cell_length_a 7.501
_cell_length_b 7.501
_cell_length_c 7.501
_cell_angle_alpha 90.00
_cell_angle_beta 90.00
_cell_angle_gamma 90.00
_space_group_name_H-M_alt 'F -4 3 m'
_space_group_IT_number 216
_space_group_name_Hall 'F -4 2 3'
loop_
_atom_site_label
_atom_site_type_symbol
_atom_site_fract_x
_atom_site_fract_y
_atom_site_fract_z
_atom_site_occupancy
Na1 Na 0.000 0.000 0.000 1
Th1 Th 0.000 0.000 0.500 1
Pb1 Pb 0.250 0.250 0.250 1
Au1 Au 0.250 0.250 0.750 1
# DOS(E_F): 3.3 states/eV/cell
# Energy of formation from the pure elements: -329 meV per atom
# Size of the total moment: 0.0 Bohr magnetons per cell

(10)
# GGA-PBE BeTlRh, relaxed
data_BeTlRh
_cell_length_a 5.772
_cell_length_b 5.772
_cell_length_c 5.772
_cell_angle_alpha 90.00
_cell_angle_beta 90.00
_cell_angle_gamma 90.00
_space_group_name_H-M_alt 'F -4 3 m'
_space_group_IT_number 216
_space_group_name_Hall 'F -4 2 3'
loop_
_atom_site_label
_atom_site_type_symbol
_atom_site_fract_x
_atom_site_fract_y
_atom_site_fract_z
_atom_site_occupancy
Be1 Be 0.000 0.000 0.000 1
Tl1 Tl 0.250 0.250 0.750 1
Rh1 Rh 0.250 0.250 0.250 1
# DOS(E_F): 3.0 states/eV/cell
# Energy of formation from the pure elements: 141 meV per atom
# E above lowest polymorph: 0.1795 eV per atom
# Size of the total moment: 0.0 Bohr magnetons per cell

(11)
# GGA-PBE Tm2MgGe, relaxed
data_Tm2MgGe
_cell_length_a 4.710
_cell_length_b 4.710
_cell_length_c 4.153
_cell_angle_alpha 90.00
_cell_angle_beta 90.00
_cell_angle_gamma 90.00
_space_group_name_H-M_alt 'P 4/m m m'
_space_group_IT_number 123
_space_group_name_Hall '-P 4 2'
loop_
_atom_site_label
_atom_site_type_symbol
_atom_site_fract_x
_atom_site_fract_y
_atom_site_fract_z
_atom_site_occupancy
Tm1 Tm 0.000 0.500 0.000 1
Mg1 Mg 0.000 0.000 0.500 1
Ge1 Ge 0.500 0.500 0.500 1
# DOS(E_F): 2.3 states/eV/cell
# Energy of formation from the pure elements: -370 meV per atom
# Size of the total moment: 0.0 Bohr magnetons per cell

(12)
# GGA-PBE Th2FeNi, relaxed
data_Th2FeNi
_cell_length_a 5.895
_cell_length_b 4.001
_cell_length_c 7.490
_cell_angle_alpha 90.00
_cell_angle_beta 107.81
_cell_angle_gamma 90.00
_space_group_name_H-M_alt 'P 1 21/m 1'
_space_group_IT_number 11
loop_
_space_group_symop_operation_xyz
'x,y,z'
'-x,-y,-z'
'-x,y+1/2,-z'
'x,-y+1/2,z'
loop_
_atom_site_label
_atom_site_type_symbol
_atom_site_fract_x
_atom_site_fract_y
_atom_site_fract_z
_atom_site_occupancy
Th1 Th 0.230 0.250 0.423 1
Th2 Th 0.232 0.250 0.940 1
Fe1 Fe 0.308 0.750 0.209 1
Ni1 Ni 0.332 0.750 0.704 1
# DOS(E_F): 5.8 states/eV/cell
# Energy of formation from the pure elements: -271 meV per atom
# E above lowest polymorph: 0.0000 eV per atom
# Size of the total moment: 0.0 Bohr magnetons per cell